This record from Alexandria via LeMat-Bulk describes crystalline Cs6RbF8 at its relaxed geometry. The functional is PBE.

Structure (extended XYZ):
```
15
Lattice="4.4376 0.0000 0.0000 0.0000 9.4021 -5.4283 0.0000 0.0000 10.8566" Properties=species:S:1:pos:R:3 pbc="T T T"
Cs 3.4304 6.5855 -2.3244
Cs 3.4304 8.1223 1.4371
Cs 3.4304 4.0964 0.8872
Cs 1.0072 2.8166 7.7527
Cs 1.0072 1.2798 3.9912
Cs 1.0072 5.3057 4.5411
Rb 2.2188 0.0000 0.0000
F 3.2114 9.3275 -2.4992
F 3.2114 6.9027 3.8992
F 3.2114 2.5740 -1.4000
F 1.2262 0.0745 7.9275
F 1.2262 2.4994 1.5291
F 1.2262 6.8281 6.8283
F 3.2562 3.1340 5.4283
F 1.1814 6.2681 0.0000
```

Formation energy without anion corrections   -2.417 eV per atom
Crystal system   trigonal
Density of states at the Fermi level   27.92 states/eV/cell
Magnetization   1.332 μB per formula unit

This record from Alexandria via LeMat-Bulk describes crystalline Cs2Rb6F at its relaxed geometry. The functional is PBE.

Structure (extended XYZ):
```
9
Lattice="-10.4678 -0.8474 -1.7405 -6.6275 -5.6345 6.1361 -7.4530 4.3159 6.2568" Properties=species:S:1:pos:R:3 pbc="T T T"
Cs -17.9487 -1.5836 7.7886
Cs -13.4064 -1.1829 5.8175
Rb -9.7820 1.3705 5.6022
Rb -11.1359 -0.9483 2.0107
Rb -9.4112 -3.0982 5.5480
Rb -6.9619 -0.5761 -0.1253
Rb -5.0387 -2.9733 3.8191
Rb -5.4522 2.0095 3.8796
F -10.8494 -0.9573 4.7079
```

Formation energy without anion corrections   -0.543 eV per atom
Crystal system   trigonal
Density of states at the Fermi level   7.45 states/eV/cell
Magnetization   0.000 μB per formula unit

This record from Alexandria via LeMat-Bulk describes crystalline Cs12Rb5F2 at its relaxed geometry. The functional is PBE.

Structure (extended XYZ):
```
19
Lattice="6.0404 13.0448 -0.3241 -6.0404 13.0448 -0.3241 0.0000 7.5651 11.4205" Properties=species:S:1:pos:R:3 pbc="T T T"
Cs 0.0000 32.4250 8.9884
Cs 2.7197 22.6009 9.7337
Cs -2.7197 22.6009 9.7337
Cs 2.7663 19.7166 3.5605
Cs -2.7663 19.7166 3.5605
Cs 0.0000 15.3109 2.9651
Cs 0.0000 18.3438 7.8073
Cs -2.7663 13.9380 7.2119
Cs 2.7663 13.9380 7.2119
Cs -2.7197 11.0537 1.0386
Cs 2.7197 11.0537 1.0386
Cs 0.0000 1.2297 1.7839
Rb 0.0000 27.3281 10.7182
Rb 0.0000 23.6319 5.1139
Rb 0.0000 3.7825 5.7103
Rb 0.0000 10.0227 5.6584
Rb 0.0000 6.3266 0.0542
F -4.1695 13.0448 -0.3241
F 4.1695 13.0448 -0.3241
```

Formation energy without anion corrections   -0.531 eV per atom
Crystal system   monoclinic
Density of states at the Fermi level   15.97 states/eV/cell
Magnetization   0.000 μB per formula unit

This record from Alexandria via LeMat-Bulk describes crystalline Cs2RbF at its relaxed geometry. The functional is PBE.

Structure (extended XYZ):
```
4
Lattice="0.0000 5.1067 5.1067 5.1067 0.0000 5.1067 5.1067 5.1067 0.0000" Properties=species:S:1:pos:R:3 pbc="T T T"
Cs 2.5534 2.5534 2.5534
Cs 7.6601 7.6601 7.6601
Rb 5.1067 5.1067 5.1067
F 0.0000 0.0000 0.0000
```

Formation energy without anion corrections   -0.715 eV per atom
Crystal system   cubic
Polymorph energy (0 for the lowest one)   226 kJ/mol of formula units
Density of states at the Fermi level   0.00 states/eV/cell
Magnetization   0.000 μB per formula unit

This record from Alexandria via LeMat-Bulk describes crystalline CsRbF at its relaxed geometry. The functional is PBE.

Structure (extended XYZ):
```
3
Lattice="4.4510 0.0000 0.0000 -2.2255 3.8547 0.0000 0.0000 0.0000 7.9436" Properties=species:S:1:pos:R:3 pbc="T T T"
Cs 2.2255 1.2849 3.6543
Rb 0.0000 0.0000 6.9740
F 0.0000 2.5698 5.2588
```

Formation energy without anion corrections   -1.679 eV per atom
Crystal system   trigonal
Polymorph energy (0 for the lowest one)   8 kJ/mol of formula units
Density of states at the Fermi level   0.85 states/eV/cell
Magnetization   0.000 μB per formula unit

This record from Alexandria via LeMat-Bulk describes crystalline Cs12RbF3 at its relaxed geometry. The functional is PBE.

Structure (extended XYZ):
```
32
Lattice="-5.4717 -9.5860 10.5739 8.8109 -11.2652 5.3946 5.9367 1.8291 15.7782" Properties=species:S:1:pos:R:3 pbc="T T T"
Cs 0.4354 -2.2557 2.9578
Cs 5.0385 -4.0091 13.8396
Cs 6.0555 -19.5315 22.6773
Cs 4.5069 -11.4295 24.2549
Cs 3.7267 -6.8508 10.7435
Cs 3.9409 -3.8271 20.4923
Cs 0.1649 -10.7787 11.7461
Cs 2.5563 -15.3176 20.7533
Cs 1.6640 -7.4078 16.7438
Cs 0.9291 -9.6050 20.4345
Cs -0.4602 -12.1091 17.0906
Cs 7.4395 -7.6215 14.2587
Cs 9.3882 -4.6280 18.6517
Cs -2.2694 -8.2088 9.2046
Cs 10.3348 -12.9103 22.8096
Cs 5.6312 -12.0356 10.2797
Cs 2.8821 -15.2484 14.2458
Cs 7.1303 -8.1649 22.6634
Cs 5.7230 -11.8431 18.5956
Cs 7.2538 -16.2313 27.0197
Cs 8.2542 -13.9293 14.5986
Cs 6.0859 -8.7258 5.7840
Cs 9.9461 -11.2794 17.6805
Cs 7.9513 -15.7915 18.6622
Rb 5.2841 0.6412 14.3636
Rb 3.9853 -10.6990 14.4587
F 5.3309 -8.7150 24.7997
F 6.0879 -6.1017 12.2294
F -0.1728 -9.3315 17.8300
F 12.4904 -12.5214 24.6928
F 6.5865 -15.1261 29.6039
F 7.9180 -13.2473 17.3854
```

Formation energy without anion corrections   -0.942 eV per atom
Crystal system   trigonal
Density of states at the Fermi level   25.79 states/eV/cell
Magnetization   0.000 μB per formula unit

This record from Alexandria via LeMat-Bulk describes crystalline Cs5Rb3F12 at its relaxed geometry. The functional is PBE.

Structure (extended XYZ):
```
80
Lattice="-10.8333 -7.2236 5.4853 10.0259 -9.0212 -4.2105 5.3011 8.6974 9.7920" Properties=species:S:1:pos:R:3 pbc="T T T"
Rb -3.7026 -7.7135 3.7590
Rb -1.2971 -11.9994 2.8657
Rb 6.7701 -4.0389 5.0191
Rb 0.5328 0.3280 4.5170
Rb -6.9006 -5.2740 6.7213
Rb 3.5290 -6.1728 1.8734
Rb 0.9647 -1.3747 9.1933
Rb 11.3943 -2.2734 4.3454
Rb 3.9608 -7.8754 6.5497
Rb -2.2764 -3.5085 6.0477
Rb 5.7907 4.4520 8.2010
Rb 8.1963 0.1661 7.3077
Cs 3.7308 -2.1116 1.5547
Cs 5.0129 -4.5106 -2.1053
Cs 0.0000 0.0000 0.0000
Cs -0.8934 -3.8770 2.2284
Cs -2.7661 0.7369 7.6386
Cs -0.4037 -8.1224 0.6374
Cs 8.1531 -4.4073 1.1998
Cs -2.2333 1.0649 12.1556
Cs 0.1291 -7.7945 5.1544
Cs 1.1666 2.6866 8.8746
Cs 3.3271 -10.2340 2.1921
Cs 2.2468 -3.7737 5.5334
Cs -5.4166 -3.6118 2.7427
Cs 2.6505 4.3487 4.8960
Cs 4.3645 0.2470 5.9124
Cs 6.7270 -8.6123 -1.0889
Cs 7.6635 -0.1619 2.7907
Cs -3.6595 -3.1401 9.8670
Cs 5.3870 -3.6704 8.8384
Cs 0.7629 -5.4359 9.5120
F -6.1425 -5.7654 3.8904
F 4.0869 -3.7556 3.7738
F -4.9326 -7.6877 6.4640
F -3.2562 -4.8006 3.3764
F 4.2400 -4.9180 6.6288
F -3.7157 -10.6355 4.2995
F 6.3976 -6.0240 2.6345
F 9.0803 -7.6898 -2.2573
F 6.7774 -6.9626 5.5501
F -0.9975 -9.0438 2.9354
F -2.1127 -6.4740 6.1467
F 0.4467 -14.0292 1.2519
F 8.6929 -2.4668 3.1225
F 0.6832 -5.8623 1.0762
F 10.4045 -5.7267 0.2278
F -0.2394 0.8356 7.3412
F 1.7384 -0.1888 1.8506
F 2.0986 -8.5147 0.3785
F 1.5669 -11.8333 3.6405
F 3.1973 -4.0377 -0.3842
F 9.6097 -4.3638 5.8324
F 2.2848 -6.1308 4.5717
F 1.3419 -9.5293 6.9637
F -0.2566 -0.8734 11.8556
F 2.2089 -1.4166 6.4951
F 3.1518 1.9818 4.1030
F 4.7503 -6.6740 -0.7888
F 2.9267 4.2859 7.4262
F -5.1160 -3.1836 5.2343
F 1.2964 -3.5097 11.4510
F 2.3951 0.9673 10.6882
F 4.7331 -8.3830 3.7255
F 2.7553 -7.3586 9.2162
F -5.9109 -1.8207 10.8390
F -4.1992 -5.0806 7.9442
F 4.0470 6.4818 9.8149
F 3.8105 -1.6852 9.9905
F -2.2838 -0.5848 5.5167
F 5.4912 1.4964 8.1314
F 6.6064 -1.0734 4.9200
F -4.5866 0.1423 13.3240
F -1.9039 -1.5234 8.4322
F 7.7499 -2.7468 7.6904
F 8.2093 3.0881 6.7672
F 0.2537 -2.6294 4.4379
F 9.4263 0.1403 4.6027
F 0.4068 -3.7918 7.2929
F 10.6362 -1.7820 7.1764
```

Formation energy without anion corrections   -2.075 eV per atom
Crystal system   cubic
Density of states at the Fermi level   44.84 states/eV/cell
Magnetization   0.000 μB per formula unit

This record from Alexandria via LeMat-Bulk describes crystalline CsRb3F at its relaxed geometry. The functional is PBE.

Structure (extended XYZ):
```
5
Lattice="10.1995 0.0000 0.0000 0.0000 10.1995 0.0000 0.0000 0.0000 10.1995" Properties=species:S:1:pos:R:3 pbc="T T T"
Cs 0.0000 0.0000 0.0000
Rb 0.0000 5.0998 0.0000
Rb 0.0000 0.0000 5.0998
Rb 5.0998 0.0000 0.0000
F 5.0998 5.0998 5.0998
```

Formation energy without anion corrections   -0.055 eV per atom
Crystal system   cubic
Polymorph energy (0 for the lowest one)   388 kJ/mol of formula units
Density of states at the Fermi level   7.37 states/eV/cell
Magnetization   1.000 μB per formula unit